# La2AgRuC

A crystal of La2AgRuC relaxed with PBEsol (meta-GGA SCAN, Alexandria via LeMat-Bulk).

Output
**Total DFT energy (no corrections)**: -31.549 eV/atom
**ΔE_f**: 0.9513 eV/atom
**Total moment**: 0.000 μB/cell
**DOS(E_F)**: 0.548 states/eV per atom
**Space-group type**: P4/mmm

a = 5.5946 Å, b = 5.5946 Å, c = 3.7762 Å
α = 90.00°, β = 90.00°, γ = 90.00°
Closest atoms and distances in Å follow each position.
Fractional positions:
La 0.0000 0.5000 0.0000  2 Ag 2.80
La 0.5000 0.0000 0.0000  2 Ag 2.80
Ag 0.0000 0.0000 0.0000  2 C 1.89
Ru 0.5000 0.5000 0.5000  8 La 3.37, 2 Ru 3.78
C 0.0000 0.0000 0.5000  2 Ag 1.89